A plane-wave DFT calculation with GGA-PBE was carried out for a relaxed structure of Ta4CoP.

Output
total energy: -10.45 eV/atom
crystal system: tetragonal

Cell: 6.1487 6.1487 4.9826 Å, 90.00 90.00 90.00°
Fractional positions:
Ta: 0.1567 0.3324 0.0000
Ta: 0.1567 0.6676 0.5000
Ta: 0.3324 0.1567 0.5000
Ta: 0.3324 0.8433 0.0000
Ta: 0.6676 0.1567 0.0000
Ta: 0.6676 0.8433 0.5000
Ta: 0.8433 0.3324 0.5000
Ta: 0.8433 0.6676 0.0000
Co: 0.0000 0.0000 0.2500
Co: 0.0000 0.0000 0.7500
P: 0.5000 0.5000 0.2500
P: 0.5000 0.5000 0.7500